1.
Below is an optimized crystal structure of Tc2PtO8, with properties calculated at the PBE level.

Properties
The energy above the lowest structure with this stoichiometry comes out at 34 meV/atom. Its symmetry is C2/m (12). The calculation puts the theoretical density at 4.35 g/cm3.

Unit cell a=6.211 b=6.211 c=5.225 alpha=95.34 beta=95.34 gamma=82.34
Fractional positions:
Tc: 0.216 0.216 0.123
Tc: 0.784 0.784 0.877
Pt: 0.000 0.000 0.500
O: 0.036 0.729 0.716
O: 0.174 0.174 0.779
O: 0.271 0.964 0.284
O: 0.396 0.396 0.228
O: 0.604 0.604 0.772
O: 0.729 0.036 0.716
O: 0.826 0.826 0.221
O: 0.964 0.271 0.284


2.
Below is an optimized crystal structure of LaCo3Ni, with properties calculated at the PBE level.

Properties
The energy relative to the elements comes out at 2.17 eV per formula unit. The energy above the lowest structure with this stoichiometry comes out at 0 meV/atom. Its symmetry is Pm-3m (221). The calculation puts the theoretical density at 7.12 g/cm3.

Unit cell a=4.436 b=4.436 c=4.436 alpha=90.00 beta=90.00 gamma=90.00
Fractional positions:
La: 0.000 0.000 0.000
Co: 0.000 0.500 0.500
Co: 0.500 0.000 0.500
Co: 0.500 0.500 0.000
Ni: 0.500 0.500 0.500